No. 1
# SrSc | Alexandria | GGA-PBE | relaxed
data_SrSc
_cell_length_a 3.742
_cell_length_b 15.475
_cell_length_c 8.107
_cell_angle_alpha 90.00
_cell_angle_beta 90.00
_cell_angle_gamma 90.00
_space_group_name_H-M_alt 'I m m 2'
_space_group_IT_number 44
_space_group_name_Hall 'I 2 -2'
loop_
_atom_site_label
_atom_site_fract_x
_atom_site_fract_y
_atom_site_fract_z
Sr1 0.000 0.000 0.000
Sr2 0.000 0.299 0.222
Sc1 0.000 0.000 0.563
Sc2 0.000 0.402 0.822
# Total magnetic moment   2.56 μB per cell
# Excess energy over the best structure of this formula in the dataset   145 meV per atom

No. 2
# HoTeClO4 | Alexandria | GGA-PBE | relaxed
data_HoTeClO4
_cell_length_a 10.264
_cell_length_b 7.230
_cell_length_c 6.967
_cell_angle_alpha 90.00
_cell_angle_beta 105.75
_cell_angle_gamma 90.00
_space_group_name_H-M_alt 'C 1 2/m 1'
_space_group_IT_number 12
_space_group_name_Hall '-C 2y'
loop_
_atom_site_label
_atom_site_fract_x
_atom_site_fract_y
_atom_site_fract_z
Ho1 0.222 0.000 0.116
Te1 0.138 0.500 0.278
Cl1 0.016 0.000 0.775
O1 0.045 0.500 0.761
O2 0.195 0.314 0.135
O3 0.235 0.500 0.539
# Total magnetic moment   0.00 μB per cell
# Raw formation energy   -12.4 eV per formula unit

No. 3
# Nd8Sm2Pb | Alexandria | GGA-PBE | relaxed
data_Nd8Sm2Pb
_cell_length_a 19.092
_cell_length_b 6.900
_cell_length_c 5.918
_cell_angle_alpha 90.00
_cell_angle_beta 93.21
_cell_angle_gamma 90.00
_space_group_name_H-M_alt 'C 1 2/m 1'
_space_group_IT_number 12
_space_group_name_Hall '-C 2y'
loop_
_atom_site_label
_atom_site_fract_x
_atom_site_fract_y
_atom_site_fract_z
Nd1 0.050 0.000 0.225
Nd2 0.126 0.237 0.740
Nd3 0.173 0.500 0.227
Sm1 0.219 0.000 0.259
Pb1 0.000 0.500 0.000
# Total magnetic moment   0.00 μB per cell
# Excess energy over the best structure of this formula in the dataset   39 meV per atom

No. 4
# Dy4AlTe | Alexandria | GGA-PBE | relaxed
data_Dy4AlTe
_cell_length_a 5.856
_cell_length_b 8.872
_cell_length_c 7.536
_cell_angle_alpha 90.00
_cell_angle_beta 103.81
_cell_angle_gamma 90.00
_space_group_name_H-M_alt 'P 1 21/m 1'
_space_group_IT_number 11
_space_group_name_Hall '-P 2yb'
loop_
_atom_site_label
_atom_site_fract_x
_atom_site_fract_y
_atom_site_fract_z
Dy1 0.018 0.055 0.243
Dy2 0.416 0.250 0.009
Dy3 0.427 0.750 0.491
Al1 0.121 0.750 0.084
Te1 0.104 0.250 0.598
# Total magnetic moment   0.00 μB per cell
# Raw formation energy   -1.7 eV per formula unit

No. 5
# DyTmSbAs | Alexandria | GGA-PBE | relaxed
data_DyTmSbAs
_cell_length_a 4.1841
_cell_length_b 4.1841
_cell_length_c 21.4345
_cell_angle_alpha 90.00
_cell_angle_beta 90.00
_cell_angle_gamma 120.00
_space_group_name_H-M_alt 'R 3 m'
_space_group_IT_number 160
_space_group_name_Hall 'R 3 -2"'
loop_
_atom_site_label
_atom_site_fract_x
_atom_site_fract_y
_atom_site_fract_z
Dy1 0.0000 0.0000 0.0000
Tm1 0.0000 0.0000 0.8189
Sb1 0.0000 0.0000 0.2410
As1 0.0000 0.0000 0.4126
# Total magnetic moment   0.00 μB per cell
# Raw formation energy   -4.8 eV per formula unit

No. 6
# La2Nd2Pt3 | Alexandria | GGA-PBE | relaxed
data_La2Nd2Pt3
_cell_length_a 9.095
_cell_length_b 9.095
_cell_length_c 9.095
_cell_angle_alpha 90.00
_cell_angle_beta 90.00
_cell_angle_gamma 90.00
_space_group_name_H-M_alt 'I 21 3'
_space_group_IT_number 199
_space_group_name_Hall 'I 2b 2c 3'
loop_
_atom_site_label
_atom_site_fract_x
_atom_site_fract_y
_atom_site_fract_z
La1 0.191 0.309 0.691
Nd1 0.060 0.060 0.060
Pt1 0.000 0.250 0.370
# Total magnetic moment   0.00 μB per cell
# VASP energy   -6.3706 eV/atom

No. 7
# Hg2RhCl | Alexandria | GGA-PBE | relaxed
data_Hg2RhCl
_cell_length_a 4.205
_cell_length_b 4.205
_cell_length_c 9.045
_cell_angle_alpha 90.00
_cell_angle_beta 90.00
_cell_angle_gamma 90.00
_space_group_name_H-M_alt 'I -4 m 2'
_space_group_IT_number 119
_space_group_name_Hall 'I -4 -2'
loop_
_atom_site_label
_atom_site_fract_x
_atom_site_fract_y
_atom_site_fract_z
Hg1 0.000 0.000 0.000
Hg2 0.000 0.500 0.250
Rh1 0.000 0.500 0.750
Cl1 0.000 0.000 0.500
# Total magnetic moment   0.00 μB per cell
# Raw formation energy   1.2 eV per formula unit
# Excess energy over the best structure of this formula in the dataset   300 meV per atom

No. 8
# Zr5ZnRu4 | Alexandria | GGA-PBE | relaxed
data_Zr5ZnRu4
_cell_length_a 3.283
_cell_length_b 3.283
_cell_length_c 16.524
_cell_angle_alpha 90.00
_cell_angle_beta 90.00
_cell_angle_gamma 90.00
_space_group_name_H-M_alt 'P 4/m m m'
_space_group_IT_number 123
_space_group_name_Hall '-P 4 2'
loop_
_atom_site_label
_atom_site_fract_x
_atom_site_fract_y
_atom_site_fract_z
Zr1 0.000 0.000 0.000
Zr2 0.000 0.000 0.199
Zr3 0.000 0.000 0.396
Zn1 0.500 0.500 0.500
Ru1 0.500 0.500 0.099
Ru2 0.500 0.500 0.298
# Total magnetic moment   0.00 μB per cell
# VASP energy   -8.6779 eV/atom